Entry 1:
A relaxed Sm8As3CS3 crystal, computed with PBE.

Cell: 8.186 8.186 8.186 Å, 59.64 59.64 59.64°
Fractional positions:
Sm: 0.249 0.249 0.249
Sm: 0.272 0.725 0.725
Sm: 0.275 0.275 0.728
Sm: 0.275 0.728 0.275
Sm: 0.725 0.272 0.725
Sm: 0.725 0.725 0.272
Sm: 0.728 0.275 0.275
Sm: 0.751 0.751 0.751
As: 0.000 0.500 0.500
As: 0.500 0.000 0.500
As: 0.500 0.500 0.000
C: 0.500 0.500 0.500
S: 0.000 0.000 0.500
S: 0.000 0.500 0.000
S: 0.500 0.000 0.000

Values from the calculation:
Density of states at the Fermi level   0.47 states/eV per atom
Crystal system   trigonal
Symmetry   No. 166


Entry 2:
A relaxed Sm4AsCS2 crystal, computed with PBE.

Cell: 5.675 5.675 11.390 Å, 90.00 90.00 90.00°
Fractional positions:
Sm: 0.000 0.000 0.224
Sm: 0.000 0.000 0.776
Sm: 0.000 0.500 0.501
Sm: 0.000 0.500 0.999
Sm: 0.500 0.000 0.001
Sm: 0.500 0.000 0.499
Sm: 0.500 0.500 0.276
Sm: 0.500 0.500 0.724
As: 0.000 0.500 0.250
As: 0.500 0.000 0.750
C: 0.000 0.000 0.000
C: 0.500 0.500 0.500
S: 0.000 0.000 0.500
S: 0.000 0.500 0.750
S: 0.500 0.000 0.250
S: 0.500 0.500 0.000

Values from the calculation:
Density of states at the Fermi level   0.30 states/eV per atom
Crystal system   tetragonal
Symmetry   No. 119


| no. | size of the total moment (μB per formula unit) | E_form (uncorrected) (eV/f.u.) |
| --- | --- | --- |
| 1 | 1.41 | -21.820 |
| 2 | 0.00 | -11.354 |